Entry 1:
EuTm2Se (PBE, relaxed); uncorrected formation energy = -13.31 kcal/mol of atoms; space-group type = R-3m
1.0
1.864 1.076 10.440
-1.864 1.076 10.440
0.000 -2.152 10.440
Eu Tm Se
1 2 1
Cartesian
0.000 0.000 0.000
0.000 0.000 3.449
0.000 0.000 27.872
0.000 0.000 15.661

Entry 2:
Pr4Er3Tm8 (PBE, relaxed); space-group type = R-3m; energy of formation = 11 kJ per mole of atoms
1.0
3.457 1.996 11.778
-3.457 1.996 11.778
0.000 -3.992 11.778
Pr Er Tm
4 3 8
Cartesian
0.000 0.000 0.000
0.000 0.000 5.776
0.000 0.000 17.667
0.000 0.000 29.558
-1.728 -0.998 11.778
-1.728 0.998 23.556
0.000 1.996 11.778
0.000 -1.983 14.668
-1.717 0.991 14.668
-1.717 -0.991 20.667
0.000 0.000 9.043
0.000 0.000 26.291
1.717 0.991 14.668
1.717 -0.991 20.667
0.000 1.983 20.667

Entry 3:
YHoBeAu (PBE, relaxed); space-group type = F-43m; energy of formation = -33 kJ per mole of atoms
1.0
0.000 3.527 3.527
3.527 0.000 3.527
3.527 3.527 0.000
Y Ho Be Au
1 1 1 1
Cartesian
0.000 0.000 0.000
3.527 3.527 3.527
5.290 5.290 5.290
1.763 1.763 1.763